# 1
This record from Alexandria describes a geometry-optimized KCrPt2 structure. The functional is PBE.

Properties
Formation enthalpy at 0 K ... 472 meV per atom
Total moment ... 0.24 μB/atom

```
data_KCrPt2
_chemical_formula_sum 'K1 Cr1 Pt2'
_symmetry_space_group_name_H-M 'P 1'
_symmetry_Int_Tables_number 1
_symmetry_space_group_name_Hall 'P 1'
_cell_length_a 10.3434
_cell_length_b 10.3434
_cell_length_c 10.3434
_cell_angle_alpha 15.63
_cell_angle_beta 15.63
_cell_angle_gamma 15.63
loop_
_atom_site_label
_atom_site_type_symbol
_atom_site_fract_x
_atom_site_fract_y
_atom_site_fract_z
Pt1 Pt 0.2460 0.2460 0.2460
K1 K 0.7476 0.7476 0.7476
Cr1 Cr 0.5144 0.5144 0.5144
Pt2 Pt 0.9920 0.9920 0.9920
```

# 2
This record from Alexandria describes a geometry-optimized KCrPt2 structure. The functional is PBE.

Properties
Formation enthalpy at 0 K ... 177 meV per atom
Total moment ... 0.84 μB/atom

```
data_KCrPt2
_chemical_formula_sum 'K1 Cr1 Pt2'
_symmetry_space_group_name_H-M 'P 1'
_symmetry_Int_Tables_number 1
_symmetry_space_group_name_Hall 'P 1'
_cell_length_a 6.4048
_cell_length_b 6.4048
_cell_length_c 6.1186
_cell_angle_alpha 63.36
_cell_angle_beta 63.36
_cell_angle_gamma 25.30
loop_
_atom_site_label
_atom_site_type_symbol
_atom_site_fract_x
_atom_site_fract_y
_atom_site_fract_z
Pt1 Pt 0.0485 0.0485 0.8206
K1 K 0.2706 0.2706 0.2543
Pt2 Pt 0.7480 0.7480 0.7661
Cr1 Cr 0.4329 0.4329 0.6590
```

# 3
This record from Alexandria describes a geometry-optimized KCr2Pt structure. The functional is PBE.

Properties
Formation enthalpy at 0 K ... 961 meV per atom
Total moment ... 0.56 μB/atom
Energy above the lowest structure with this stoichiometry ... 0.556 eV/atom

```
data_KCr2Pt
_chemical_formula_sum 'K1 Cr2 Pt1'
_symmetry_space_group_name_H-M 'P 1'
_symmetry_Int_Tables_number 1
_symmetry_space_group_name_Hall 'P 1'
_cell_length_a 10.4842
_cell_length_b 10.4842
_cell_length_c 10.4842
_cell_angle_alpha 15.10
_cell_angle_beta 15.10
_cell_angle_gamma 15.10
loop_
_atom_site_label
_atom_site_type_symbol
_atom_site_fract_x
_atom_site_fract_y
_atom_site_fract_z
Pt1 Pt 0.7500 0.7500 0.7500
Cr1 Cr 0.0141 0.0141 0.0141
K1 K 0.2500 0.2500 0.2500
Cr2 Cr 0.4859 0.4859 0.4859
```

# 4
This record from Alexandria describes a geometry-optimized KCr2Pt structure. The functional is PBE.

Properties
Formation enthalpy at 0 K ... 534 meV per atom
Total moment ... 0.00 μB/atom
Energy above the lowest structure with this stoichiometry ... 0.129 eV/atom

```
data_KCr2Pt
_chemical_formula_sum 'K1 Cr2 Pt1'
_symmetry_space_group_name_H-M 'P 1'
_symmetry_Int_Tables_number 1
_symmetry_space_group_name_Hall 'P 1'
_cell_length_a 4.3295
_cell_length_b 2.7628
_cell_length_c 6.9174
_cell_angle_alpha 86.43
_cell_angle_beta 90.00
_cell_angle_gamma 90.00
loop_
_atom_site_label
_atom_site_type_symbol
_atom_site_fract_x
_atom_site_fract_y
_atom_site_fract_z
K1 K 0.5000 0.2500 0.2500
Pt1 Pt 0.5000 0.7500 0.7500
Cr1 Cr 0.0000 0.3099 0.6183
Cr2 Cr 0.0000 0.1901 0.8817
```

# 5
This record from Alexandria describes a geometry-optimized KCrPt4 structure. The functional is PBE.

Properties
Formation enthalpy at 0 K ... 42 meV per atom
Total moment ... 0.74 μB/atom

```
data_KCrPt4
_chemical_formula_sum 'K1 Cr1 Pt4'
_symmetry_space_group_name_H-M 'P 1'
_symmetry_Int_Tables_number 1
_symmetry_space_group_name_Hall 'P 1'
_cell_length_a 5.3958
_cell_length_b 5.3958
_cell_length_c 5.3958
_cell_angle_alpha 60.00
_cell_angle_beta 60.00
_cell_angle_gamma 60.00
loop_
_atom_site_label
_atom_site_type_symbol
_atom_site_fract_x
_atom_site_fract_y
_atom_site_fract_z
Cr1 Cr 0.7500 0.7500 0.7500
Pt1 Pt 0.3754 0.3754 0.3754
K1 K 0.0000 0.0000 0.0000
Pt2 Pt 0.3754 0.3754 0.8739
Pt3 Pt 0.8739 0.3754 0.3754
Pt4 Pt 0.3754 0.8739 0.3754
```

# 6
This record from Alexandria describes a geometry-optimized KCrPt2 structure. The functional is PBE.

Properties
Formation enthalpy at 0 K ... 376 meV per atom
Total moment ... 0.99 μB/atom

```
data_KCrPt2
_chemical_formula_sum 'K1 Cr1 Pt2'
_symmetry_space_group_name_H-M 'P 1'
_symmetry_Int_Tables_number 1
_symmetry_space_group_name_Hall 'P 1'
_cell_length_a 5.9186
_cell_length_b 5.9186
_cell_length_c 5.9186
_cell_angle_alpha 152.02
_cell_angle_beta 126.40
_cell_angle_gamma 61.54
loop_
_atom_site_label
_atom_site_type_symbol
_atom_site_fract_x
_atom_site_fract_y
_atom_site_fract_z
Cr1 Cr 0.2500 0.7500 0.5000
Pt1 Pt 0.4592 0.4592 0.0000
K1 K 0.7500 0.2500 0.5000
Pt2 Pt 0.0408 0.0408 0.0000
```